Material: Pr6Er5Tm
Method: DFT, PBE
State: relaxed

Lattice parameters (Å, degrees): 11.8051 6.2745 6.2744 60.00 84.92 79.80
Fractional coordinates of all 12 atoms:
Pr1 0.2499 0.5837 0.3331
Pr2 0.2499 0.2501 0.0000
Pr3 0.7501 0.7499 0.0000
Pr4 0.2499 0.9168 0.6669
Pr5 0.7501 0.4163 0.6669
Pr6 0.7501 0.0832 0.3331
Er1 0.0000 0.6667 0.6667
Er2 0.5000 0.5000 0.0000
Er3 0.5000 0.8333 0.3333
Er4 0.0000 0.3333 0.3333
Er5 0.5000 0.1667 0.6667
Tm1 0.0000 0.0000 0.0000

Properties
As for the formation energy: 14 meV per atom. The volume is 396.1 Å³/cell. The symmetry is C2/m (12). Its density of states at the Fermi level is 12.179 states/eV per cell.